# Tl2CuSb2, optimized geometry, DFT GGA-PBE
# - Density: 8.3 g/cm3
# - Formation energy without anion corrections: 351 meV per atom
# - Energy above the lowest structure with this stoichiometry: 138 kJ/mol of formula units
data_Tl2CuSb2
_chemical_formula_sum 'Tl4 Cu2 Sb4'
_space_group_name_H-M_alt 'P 1'
_space_group_IT_number 1
_cell_length_a 7.3238
_cell_length_b 7.3238
_cell_length_c 5.3188
_cell_angle_alpha 90.00
_cell_angle_beta 90.00
_cell_angle_gamma 90.00
loop_
_space_group_symop_operation_xyz
'x,y,z'
loop_
_atom_site_label
_atom_site_type_symbol
_atom_site_fract_x
_atom_site_fract_y
_atom_site_fract_z
_atom_site_occupancy
Tl1 Tl 0.1723 0.3277 0.0000 1
Tl2 Tl 0.8277 0.6723 0.0000 1
Tl3 Tl 0.3277 0.8277 0.0000 1
Tl4 Tl 0.6723 0.1723 0.0000 1
Sb1 Sb 0.3641 0.1359 0.5000 1
Sb2 Sb 0.1359 0.6359 0.5000 1
Sb3 Sb 0.8641 0.3641 0.5000 1
Sb4 Sb 0.6359 0.8641 0.5000 1
Cu1 Cu 0.0000 0.0000 0.0000 1
Cu2 Cu 0.5000 0.5000 0.0000 1